# 1
# Zr2ScTi2 (PBE, relaxed)
data_Zr2ScTi2
_cell_length_a 7.823
_cell_length_b 7.823
_cell_length_c 3.479
_cell_angle_alpha 90.00
_cell_angle_beta 90.00
_cell_angle_gamma 90.00
_symmetry_space_group_name_H-M 'P 4/m b m'
_symmetry_Int_Tables_number 127
_symmetry_space_group_name_Hall '-P 4 2ab'
loop_
_atom_site_label
_atom_site_fract_x
_atom_site_fract_y
_atom_site_fract_z
Zr1 0.167 0.333 0.000
Sc1 0.000 0.000 0.500
Ti1 0.126 0.626 0.500
# Energy of formation in meV/atom: 62
# Energy above the lowest structure with this stoichiometry in meV per atom: 0
# Spin magnetization in μB per cell: 0.00

=====

# 2
# CaZnCd4 (PBE, relaxed)
data_CaZnCd4
_cell_length_a 8.351
_cell_length_b 8.351
_cell_length_c 8.351
_cell_angle_alpha 90.00
_cell_angle_beta 90.00
_cell_angle_gamma 90.00
_symmetry_space_group_name_H-M 'F -4 3 m'
_symmetry_Int_Tables_number 216
_symmetry_space_group_name_Hall 'F -4 2 3'
loop_
_atom_site_label
_atom_site_fract_x
_atom_site_fract_y
_atom_site_fract_z
Ca1 0.000 0.000 0.000
Zn1 0.250 0.250 0.250
Cd1 0.125 0.125 0.625
# Energy of formation in meV/atom: -49
# Energy above the lowest structure with this stoichiometry in meV per atom: 141
# Spin magnetization in μB per cell: 0.00

=====

Number 1: mass density 5.040 g/cm3. Number 2: mass density 6.331 g/cm3.